This record from the Alexandria database describes a geometry-optimized Pm2CoO5 structure. The functional is GGA+U.

Geometry as POSCAR:
```
Pm2CoO5
1.0
3.850 0.000 0.000
0.000 10.641 0.000
0.000 0.000 11.279
O Pm Co
20 8 4
direct
0.250 0.218 0.966
0.750 0.514 0.101
0.250 0.275 0.272
0.250 0.257 0.624
0.250 0.775 0.228
0.750 0.014 0.399
0.750 0.743 0.376
0.750 0.282 0.466
0.250 0.486 0.899
0.750 0.782 0.034
0.750 0.725 0.728
0.750 0.468 0.674
0.250 0.032 0.174
0.750 0.225 0.772
0.750 0.968 0.826
0.250 0.986 0.601
0.250 0.718 0.534
0.250 0.757 0.876
0.250 0.532 0.326
0.750 0.243 0.124
0.750 0.404 0.280
0.750 0.904 0.220
0.250 0.638 0.058
0.250 0.096 0.780
0.750 0.862 0.558
0.250 0.596 0.720
0.750 0.362 0.942
0.250 0.138 0.442
0.250 0.191 0.126
0.750 0.309 0.626
0.250 0.691 0.374
0.750 0.809 0.874
```

## Properties
As for the space group: No. 62. For the total energy, the calculation gives -234.95 eV/cell. The magnetic moment is 3.03 μB/f.u.